# YAl2Pt9

A geometry-optimized YAl2Pt9 structure (PBE, Alexandria via LeMat-Bulk).

a b c (Å): 4.0093 4.0093 11.8798
angles (deg): 90.00 90.00 90.00
Fractional positions:
Y 0.0000 0.0000 0.0000
Pt 0.5000 0.0000 0.5000
Pt 0.5000 0.5000 0.3404
Al 0.0000 0.0000 0.6608
Pt 0.5000 0.0000 0.1813
Pt 0.5000 0.0000 0.8187
Pt 0.0000 0.5000 0.1813
Pt 0.5000 0.5000 0.0000
Pt 0.5000 0.5000 0.6596
Al 0.0000 0.0000 0.3392
Pt 0.0000 0.5000 0.8187
Pt 0.0000 0.5000 0.5000

Spin magnetization in μB per formula unit: 0.00
Total DFT energy (no corrections) in eV per formula unit: -77.71
E_form in eV/atom: -0.78